A plane-wave DFT calculation with PBE was carried out for an optimized crystal structure of K2HgTeF.

Unit cell a=5.0440 b=5.0440 c=5.7049 alpha=90.00 beta=90.00 gamma=90.00
Closest atoms and distances in Å follow each position.
Space group P4/mmm (No. 123)
Unique sites:
K: 0.0000 0.5000 0.0000 [2 per cell]  2 F 2.52
Hg: 0.0000 0.0000 0.5000 [1 per cell]  2 F 2.85
Te: 0.5000 0.5000 0.5000 [1 per cell]  4 Hg 3.57, 8 K 3.81
F: 0.0000 0.0000 0.0000 [1 per cell]  4 K 2.52

Properties
The value obtained for the density of states at the Fermi level is 1.48 states/eV/cell. The calculation puts the formation energy (no corrections) at -1.28 eV/atom. The final energy is -13.90 eV per cell.

***

A plane-wave DFT calculation with PBE was carried out for an optimized crystal structure of MnReAg2.

Unit cell a=2.8103 b=4.6296 c=4.9303 alpha=90.00 beta=90.00 gamma=90.00
Closest atoms and distances in Å follow each position.
Space group Pmmm (No. 47)
Unique sites:
Mn: 0.0000 0.0000 0.0000 [1 per cell]  4 Re 2.71, 2 Mn 2.81, 4 Ag 2.84
Re: 0.5000 0.5000 0.0000 [1 per cell]  4 Mn 2.71, 2 Re 2.81, 4 Ag 2.84
Ag: 0.0000 0.5000 0.5000 [1 per cell]  6 Ag 2.71-2.81, 4 Re 2.84
Ag: 0.5000 0.0000 0.5000 [1 per cell]  6 Ag 2.71-2.81, 4 Mn 2.84

Properties
The value obtained for the density of states at the Fermi level is 2.38 states/eV/cell. The energy of formation comes out at 585 meV/atom. The calculation puts the energy above the most stable polymorph in this dataset at 1.033 eV per formula unit. The final energy is -24.98 eV per cell.

***

A plane-wave DFT calculation with PBE was carried out for an optimized crystal structure of Ce2NbCr2N6.

Unit cell a=5.7928 b=5.7928 c=15.9052 alpha=90.00 beta=90.00 gamma=120.00
Closest atoms and distances in Å follow each position.
Space group R-3m (No. 166, hexagonal axes)
Unique sites:
Ce: 0.0000 0.0000 0.2066 [6 per cell]  3 N 2.53
Nb: 0.0000 0.0000 0.0000 [3 per cell]  6 N 2.09
Cr: 0.0000 0.0000 0.4349 [6 per cell]  3 N 1.76
N: 0.0134 0.5067 0.7504 [18 per cell]  1 Cr 1.76

Properties
The value obtained for the density of states at the Fermi level is 36.24 states/eV/cell. The calculation puts the formation energy (no corrections) at -0.73 eV/atom. The final energy is -297.57 eV per cell.